# 1
Entry from the Alexandria database: a relaxed Sr5Hg2 crystal (PBE).

Computed properties:
Magnetic moment (μB per atom): 0.00
VASP energy (eV/atom): -1.6113
Volume (Å³ per atom): 43.0
ΔE_f (eV per atom): -0.32

Cell lengths 10.1906, 10.1906, 8.4569 Å; angles 97.32, 97.32, 43.84 degrees
Last column: nearest neighbours and their distance in Å.
Sites, in units of the cell vectors:
Sr 0.0785 0.9215 0.7500  4 Hg 3.40-3.44
Sr 0.1278 0.3082 0.3072  3 Hg 3.38-3.60
Sr 0.3038 0.5121 0.0778  2 Hg 3.31-3.35
Sr 0.3082 0.1278 0.8072  3 Hg 3.38-3.60
Sr 0.4879 0.6962 0.4222  2 Hg 3.31-3.35
Sr 0.5121 0.3038 0.5778  2 Hg 3.31-3.35
Sr 0.6918 0.8722 0.1928  3 Hg 3.38-3.60
Sr 0.6962 0.4879 0.9222  2 Hg 3.31-3.35
Sr 0.8722 0.6918 0.6928  3 Hg 3.38-3.60
Sr 0.9215 0.0785 0.2500  4 Hg 3.40-3.44
Hg 0.0896 0.6876 0.4188  7 Sr 3.31-3.60
Hg 0.3124 0.9104 0.0812  7 Sr 3.31-3.60
Hg 0.6876 0.0896 0.9188  7 Sr 3.31-3.60
Hg 0.9104 0.3124 0.5812  7 Sr 3.31-3.60

***

# 2
Entry from the Alexandria database: a relaxed Sr3Hg13 crystal (PBE).

Computed properties:
Magnetic moment (μB per atom): 0.00
VASP energy (eV/atom): -0.8756
Volume (Å³ per atom): 28.0
ΔE_f (eV per atom): -0.32

Cell lengths 10.7276, 6.8641, 6.8641 Å; angles 62.47, 90.00, 90.00 degrees
Last column: nearest neighbours and their distance in Å.
Sites, in units of the cell vectors:
Sr 0.0000 0.0000 0.0000  12 Hg 3.37-3.56
Sr 0.2482 0.3271 0.3271  13 Hg 3.38-3.71
Sr 0.7518 0.3271 0.3271  13 Hg 3.38-3.71
Hg 0.0000 0.5047 0.5047  8 Hg 3.24-3.62, 4 Sr 3.38-3.56
Hg 0.0000 0.5054 0.9768  7 Hg 3.24-3.62, 4 Sr 3.40-3.47
Hg 0.0000 0.9768 0.5054  7 Hg 3.24-3.62, 4 Sr 3.40-3.47
Hg 0.2468 0.8223 0.8223  6 Hg 3.11-3.36, 1 Sr 3.37
Hg 0.2579 0.3338 0.8220  7 Hg 3.15-3.51, 3 Sr 3.42-3.45
Hg 0.2579 0.8220 0.3338  7 Hg 3.15-3.51, 3 Sr 3.42-3.45
Hg 0.5000 0.0396 0.6132  5 Hg 3.04-3.27, 2 Sr 3.39
Hg 0.5000 0.1131 0.1131  6 Hg 3.20-3.23
Hg 0.5000 0.5439 0.5439  6 Hg 3.15-3.27
Hg 0.5000 0.6132 0.0396  5 Hg 3.04-3.27, 2 Sr 3.39
Hg 0.7421 0.3338 0.8220  7 Hg 3.15-3.51, 3 Sr 3.42-3.45
Hg 0.7421 0.8220 0.3338  7 Hg 3.15-3.51, 3 Sr 3.42-3.45
Hg 0.7532 0.8223 0.8223  6 Hg 3.11-3.36, 1 Sr 3.37

***

# 3
Entry from the Alexandria database: a relaxed SrHg7 crystal (PBE).

Computed properties:
Magnetic moment (μB per atom): 0.00
E above lowest polymorph (meV per atom): 0.0
VASP energy (eV/atom): -0.6924
Volume (Å³ per atom): 27.5
ΔE_f (eV per atom): -0.22

Cell lengths 9.4041, 9.4041, 9.4041 Å; angles 149.01, 149.01, 44.40 degrees
Last column: nearest neighbours and their distance in Å.
Sites, in units of the cell vectors:
Sr 0.0000 0.0000 0.0000  12 Hg 3.42-3.55
Hg 0.1331 0.6331 0.5000  10 Hg 3.22-3.55, 2 Sr 3.42
Hg 0.2488 0.2488 0.0000  12 Hg 3.22-3.55
Hg 0.3669 0.8669 0.5000  10 Hg 3.22-3.55, 2 Sr 3.42
Hg 0.5000 0.5000 0.0000  8 Hg 3.42, 4 Sr 3.55
Hg 0.6331 0.1331 0.5000  10 Hg 3.22-3.55, 2 Sr 3.42
Hg 0.7512 0.7512 0.0000  12 Hg 3.22-3.55
Hg 0.8669 0.3669 0.5000  10 Hg 3.22-3.55, 2 Sr 3.42

***

# 4
Entry from the Alexandria database: a relaxed SrHg2 crystal (PBE).

Computed properties:
Magnetic moment (μB per atom): 0.00
VASP energy (eV/atom): -1.2495
Volume (Å³ per atom): 29.6
ΔE_f (eV per atom): -0.49

Cell lengths 6.4682, 6.4682, 6.4682 Å; angles 133.98, 105.10, 92.58 degrees
Last column: nearest neighbours and their distance in Å.
Sites, in units of the cell vectors:
Sr 0.2623 0.0123 0.2500  12 Hg 3.51-3.61
Sr 0.7377 0.9877 0.7500  12 Hg 3.51-3.61
Hg 0.1506 0.6656 0.4850  3 Hg 2.94-2.97
Hg 0.3195 0.3344 0.9850  3 Hg 2.94-2.97
Hg 0.6805 0.6656 0.0150  3 Hg 2.94-2.97
Hg 0.8494 0.3344 0.5150  3 Hg 2.94-2.97

***

# 5
Entry from the Alexandria database: a relaxed SrHg2 crystal (PBE).

Computed properties:
Magnetic moment (μB per atom): 0.00
VASP energy (eV/atom): -1.2264
Volume (Å³ per atom): 29.2
ΔE_f (eV per atom): -0.46

Cell lengths 5.9329, 5.9329, 5.9329 Å; angles 139.40, 139.40, 58.77 degrees
Last column: nearest neighbours and their distance in Å.
Sites, in units of the cell vectors:
Sr 0.0000 0.0000 0.0000  10 Hg 3.39-3.41
Hg 0.3278 0.3278 0.0000  5 Hg 3.33-3.56, 5 Sr 3.39-3.41
Hg 0.6722 0.6722 0.0000  5 Hg 3.33-3.56, 5 Sr 3.39-3.41

***

# 6
Entry from the Alexandria database: a relaxed SrHg3 crystal (PBE).

Computed properties:
Magnetic moment (μB per atom): 0.00
VASP energy (eV/atom): -0.9905
Volume (Å³ per atom): 28.8
ΔE_f (eV per atom): -0.34

Cell lengths 4.0432, 4.1213, 6.9608 Å; angles 90.00, 95.99, 90.00 degrees
Last column: nearest neighbours and their distance in Å.
Sites, in units of the cell vectors:
Sr 0.0000 0.0000 0.0000  10 Hg 3.42-3.48
Hg 0.0000 0.0000 0.5000  4 Hg 3.11, 2 Sr 3.48
Hg 0.4569 0.5000 0.7331  3 Hg 3.11-3.30, 4 Sr 3.42-3.44
Hg 0.5431 0.5000 0.2669  3 Hg 3.11-3.30, 4 Sr 3.42-3.44